The following is a DFT calculation (SCAN) of a crystal of ScCuSi relaxed with PBEsol.

Unit cell a=6.331 b=6.331 c=3.909 alpha=90.00 beta=90.00 gamma=120.00
Fractional positions:
Sc: 0.000 0.569 0.000
Sc: 0.431 0.431 0.000
Sc: 0.569 0.000 0.000
Cu: 0.000 0.242 0.500
Cu: 0.242 0.000 0.500
Cu: 0.758 0.758 0.500
Si: 0.000 0.000 0.000
Si: 0.333 0.667 0.500
Si: 0.667 0.333 0.500

Properties
The value obtained for the energy relative to the elements, uncorrected is -0.704 eV/atom. Its space-group type is P-62m, No. 189. As for the total energy: -13.855 eV per atom.